1.
## Zn4B2S6O25 (PBE)

Data for an optimized crystal structure of Zn4B2S6O25.

a = 7.9258 Å, b = 7.9258 Å, c = 7.4590 Å
α = 90.00°, β = 90.00°, γ = 120.00°
Last column: nearest neighbours and their distance in Å.
Element x y z (fractional)
B 0.0000 0.0000 0.3193  4 O 1.35-1.51
B 0.0000 0.0000 0.6807  4 O 1.35-1.51
O 0.4208 0.1569 0.0849  1 S 1.46
O 0.8431 0.2639 0.0849  1 S 1.46
O 0.7361 0.5792 0.0849  1 S 1.46
O 0.0685 0.1977 0.2381  1 B 1.51, 1 S 1.52
O 0.8023 0.8707 0.2381  1 B 1.51, 1 S 1.52
O 0.1293 0.9315 0.2381  1 B 1.51, 1 S 1.52
O 0.1135 0.5193 0.2512  1 S 1.49
O 0.4807 0.5942 0.2512  1 S 1.49
O 0.4058 0.8865 0.2512  1 S 1.49
O 0.4138 0.1567 0.4124  1 S 1.46
O 0.8433 0.2571 0.4124  1 S 1.46
O 0.7429 0.5862 0.4124  1 S 1.46
O 0.0000 0.0000 0.5000  2 B 1.35
O 0.2571 0.4138 0.5876  1 S 1.46
O 0.1567 0.7429 0.5876  1 S 1.46
O 0.5862 0.8433 0.5876  1 S 1.46
O 0.5942 0.1135 0.7488  1 S 1.49
O 0.5193 0.4058 0.7488  1 S 1.49
O 0.8865 0.4807 0.7488  1 S 1.49
O 0.8707 0.0685 0.7619  1 B 1.51, 1 S 1.52
O 0.1977 0.1293 0.7619  1 B 1.51, 1 S 1.52
O 0.9315 0.8023 0.7619  1 B 1.51, 1 S 1.52
O 0.2639 0.4208 0.9151  1 S 1.46
O 0.1569 0.7361 0.9151  1 S 1.46
O 0.5792 0.8431 0.9151  1 S 1.46
S 0.3504 0.0408 0.2478  4 O 1.46-1.52
S 0.9592 0.3096 0.2478  4 O 1.46-1.52
S 0.6904 0.6496 0.2478  4 O 1.46-1.52
S 0.3096 0.3504 0.7522  4 O 1.46-1.52
S 0.0408 0.6904 0.7522  4 O 1.46-1.52
S 0.6496 0.9592 0.7522  4 O 1.46-1.52
Zn 0.3333 0.6667 0.0486  6 O 2.00-2.16
Zn 0.3333 0.6667 0.4575  6 O 2.03-2.18
Zn 0.6667 0.3333 0.5425  6 O 2.03-2.18
Zn 0.6667 0.3333 0.9514  6 O 2.00-2.16

Summary:
As for the uncorrected energy: -5.989 eV/atom. Its space group is P-3, No. 147.

***

2.
## SmSc3B4O12 (PBE)

Data for an optimized crystal structure of SmSc3B4O12.

a = 6.2276 Å, b = 6.2276 Å, c = 6.2276 Å
α = 103.60°, β = 103.60°, γ = 103.60°
Last column: nearest neighbours and their distance in Å.
Element x y z (fractional)
B 0.9517 0.5000 0.0483  3 O 1.38
B 0.5000 0.5000 0.5000  3 O 1.38
B 0.0483 0.9517 0.5000  3 O 1.38
B 0.5000 0.0483 0.9517  3 O 1.38
O 0.8037 0.6332 0.0322  1 B 1.38
O 0.5000 0.9077 0.0923  1 B 1.38
O 0.9678 0.3668 0.1963  1 B 1.38
O 0.5000 0.6407 0.3593  1 B 1.38
O 0.1963 0.9678 0.3668  1 B 1.38
O 0.9077 0.0923 0.5000  1 B 1.38
O 0.6407 0.3593 0.5000  1 B 1.38
O 0.0322 0.8037 0.6332  1 B 1.38
O 0.3593 0.5000 0.6407  1 B 1.38
O 0.6332 0.0322 0.8037  1 B 1.38
O 0.0923 0.5000 0.9077  1 B 1.38
O 0.3668 0.1963 0.9678  1 B 1.38
Sc 0.4536 0.5464 0.0000  6 O 2.07-2.12
Sc 0.5464 0.0000 0.4536  6 O 2.07-2.12
Sc 0.0000 0.4536 0.5464  6 O 2.07-2.12
Sm 0.0000 0.0000 0.0000  6 O 2.40

Summary:
As for the uncorrected energy: -8.527 eV/atom. Its space group is R32, No. 155.

***

3.
## SmSc3B4O12 (PBE)

Data for an optimized crystal structure of SmSc3B4O12.

a = 6.2270 Å, b = 6.2270 Å, c = 11.9319 Å
α = 99.03°, β = 99.03°, γ = 104.08°
Last column: nearest neighbours and their distance in Å.
Element x y z (fractional)
B 0.7319 0.7798 0.0011  3 O 1.38
B 0.5037 0.9013 0.2263  3 O 1.38
B 0.0987 0.4963 0.2737  3 O 1.38
B 0.2202 0.2681 0.4989  3 O 1.38
B 0.7798 0.7319 0.5011  3 O 1.38
B 0.9013 0.5037 0.7263  3 O 1.38
B 0.4963 0.0987 0.7737  3 O 1.38
B 0.2681 0.2202 0.9989  3 O 1.38
O 0.8660 0.6337 0.0024  1 B 1.38
O 0.4821 0.2871 0.0674  1 B 1.38
O 0.8196 0.9920 0.0717  1 B 1.38
O 0.2981 0.8379 0.1504  1 B 1.38
O 0.8863 0.4334 0.2042  1 B 1.38
O 0.6463 0.7644 0.2379  1 B 1.38
O 0.2356 0.3537 0.2621  1 B 1.38
O 0.5666 0.1137 0.2958  1 B 1.38
O 0.1621 0.7019 0.3496  1 B 1.38
O 0.0080 0.1804 0.4283  1 B 1.38
O 0.7129 0.5179 0.4326  1 B 1.38
O 0.3663 0.1340 0.4976  1 B 1.38
O 0.6337 0.8660 0.5024  1 B 1.38
O 0.2871 0.4821 0.5674  1 B 1.38
O 0.9920 0.8196 0.5717  1 B 1.38
O 0.8379 0.2981 0.6504  1 B 1.38
O 0.4334 0.8863 0.7042  1 B 1.38
O 0.7644 0.6463 0.7379  1 B 1.38
O 0.3537 0.2356 0.7621  1 B 1.38
O 0.1137 0.5666 0.7958  1 B 1.38
O 0.7019 0.1621 0.8496  1 B 1.38
O 0.1804 0.0080 0.9283  1 B 1.38
O 0.5179 0.7129 0.9326  1 B 1.38
O 0.1340 0.3663 0.9976  1 B 1.38
Sc 0.7978 0.2955 0.0245  6 O 2.05-2.12
Sc 0.5722 0.4278 0.2500  6 O 2.07-2.15
Sc 0.7045 0.2022 0.4755  6 O 2.05-2.12
Sc 0.2955 0.7978 0.5245  6 O 2.05-2.12
Sc 0.4278 0.5722 0.7500  6 O 2.07-2.15
Sc 0.2022 0.7045 0.9755  6 O 2.05-2.12
Sm 0.0322 0.9678 0.2500  6 O 2.37-2.40
Sm 0.9678 0.0322 0.7500  6 O 2.37-2.40

Summary:
As for the uncorrected energy: -8.528 eV/atom. Its space group is C2/c, No. 15.

***

Question: Which of these has the lowest uncorrected energy?
Answer: number 3

***

Repeat the third record exactly.
## SmSc3B4O12 (PBE)

Data for an optimized crystal structure of SmSc3B4O12.

a = 6.2270 Å, b = 6.2270 Å, c = 11.9319 Å
α = 99.03°, β = 99.03°, γ = 104.08°
Last column: nearest neighbours and their distance in Å.
Element x y z (fractional)
B 0.7319 0.7798 0.0011  3 O 1.38
B 0.5037 0.9013 0.2263  3 O 1.38
B 0.0987 0.4963 0.2737  3 O 1.38
B 0.2202 0.2681 0.4989  3 O 1.38
B 0.7798 0.7319 0.5011  3 O 1.38
B 0.9013 0.5037 0.7263  3 O 1.38
B 0.4963 0.0987 0.7737  3 O 1.38
B 0.2681 0.2202 0.9989  3 O 1.38
O 0.8660 0.6337 0.0024  1 B 1.38
O 0.4821 0.2871 0.0674  1 B 1.38
O 0.8196 0.9920 0.0717  1 B 1.38
O 0.2981 0.8379 0.1504  1 B 1.38
O 0.8863 0.4334 0.2042  1 B 1.38
O 0.6463 0.7644 0.2379  1 B 1.38
O 0.2356 0.3537 0.2621  1 B 1.38
O 0.5666 0.1137 0.2958  1 B 1.38
O 0.1621 0.7019 0.3496  1 B 1.38
O 0.0080 0.1804 0.4283  1 B 1.38
O 0.7129 0.5179 0.4326  1 B 1.38
O 0.3663 0.1340 0.4976  1 B 1.38
O 0.6337 0.8660 0.5024  1 B 1.38
O 0.2871 0.4821 0.5674  1 B 1.38
O 0.9920 0.8196 0.5717  1 B 1.38
O 0.8379 0.2981 0.6504  1 B 1.38
O 0.4334 0.8863 0.7042  1 B 1.38
O 0.7644 0.6463 0.7379  1 B 1.38
O 0.3537 0.2356 0.7621  1 B 1.38
O 0.1137 0.5666 0.7958  1 B 1.38
O 0.7019 0.1621 0.8496  1 B 1.38
O 0.1804 0.0080 0.9283  1 B 1.38
O 0.5179 0.7129 0.9326  1 B 1.38
O 0.1340 0.3663 0.9976  1 B 1.38
Sc 0.7978 0.2955 0.0245  6 O 2.05-2.12
Sc 0.5722 0.4278 0.2500  6 O 2.07-2.15
Sc 0.7045 0.2022 0.4755  6 O 2.05-2.12
Sc 0.2955 0.7978 0.5245  6 O 2.05-2.12
Sc 0.4278 0.5722 0.7500  6 O 2.07-2.15
Sc 0.2022 0.7045 0.9755  6 O 2.05-2.12
Sm 0.0322 0.9678 0.2500  6 O 2.37-2.40
Sm 0.9678 0.0322 0.7500  6 O 2.37-2.40

Summary:
As for the uncorrected energy: -8.528 eV/atom. Its space group is C2/c, No. 15.